Computed, not measured: a relaxed structure of HgMoP at the GGA-PBE level of DFT.

Lattice parameters (Å, degrees): 4.056 4.056 3.850 90.00 90.00 120.00
Atoms (fractional coordinates):
Hg (0.000, 0.000, 0.500)
Mo (0.667, 0.333, 0.000)
P (0.333, 0.667, 0.000)

Summary:
For the excess energy over the best structure of this formula in the dataset, the calculation gives 89.7 meV/atom. The calculation puts the energy relative to the elements at 201 meV/atom.